Compound: Dy4HgRu3
Source: Alexandria
Functional: PBE-GGA
Structure: relaxed

a b c (Å): 4.881 4.881 7.052
angles (deg): 90.00 90.00 90.00
Atoms (fractional coordinates):
1 Dy 0.000 0.500 0.236
2 Dy 0.000 0.500 0.764
3 Dy 0.500 0.000 0.236
4 Dy 0.500 0.000 0.764
5 Hg 0.000 0.000 0.500
6 Ru 0.000 0.000 0.000
7 Ru 0.500 0.500 0.000
8 Ru 0.500 0.500 0.500

Summary:
DFT total energy ... -6.20 eV/atom
Total magnetic moment ... 0.00 μB per formula unit
Formation enthalpy at 0 K ... -0.39 eV per atom